Record 1
Computed, not measured: a relaxed Er3Mg2Tl4 crystal at the PBE level of DFT.

Properties
**Total energy**: -28.33 eV per cell
**M_tot**: 0.000 μB/atom
**SG**: C2/m, No. 12
**Crystal system**: monoclinic

Cell lengths 6.2505, 6.2505, 9.3935 Å; angles 116.81, 116.81, 46.44 degrees
Closest atoms and distances in Å follow each position.
Atoms (fractional coordinates):
Er (0.0000, 0.0000, 0.0000)  6 Tl 3.19-3.28
Er (0.3496, 0.3496, 0.3188)  7 Tl 3.22-3.52, 4 Mg 3.36-3.41, 1 Er 3.46
Er (0.6504, 0.6504, 0.6812)  7 Tl 3.22-3.52, 4 Mg 3.36-3.41, 1 Er 3.46
Mg (0.3521, 0.3521, 0.6778)  3 Tl 2.85-2.88
Mg (0.6479, 0.6479, 0.3222)  3 Tl 2.85-2.88
Tl (0.0512, 0.0512, 0.3751)  2 Mg 2.85, 1 Tl 3.10
Tl (0.3091, 0.3091, 0.9548)  1 Mg 2.88, 2 Tl 3.13, 3 Er 3.19-3.22
Tl (0.6909, 0.6909, 0.0452)  1 Mg 2.88, 2 Tl 3.13, 3 Er 3.19-3.22
Tl (0.9488, 0.9488, 0.6249)  2 Mg 2.85, 1 Tl 3.10

Record 2
Computed, not measured: a relaxed Np2AlGe crystal at the PBE level of DFT.

Properties
**Total energy**: -33.95 eV per cell
**M_tot**: 0.000 μB/atom
**SG**: P4/mmm, No. 123
**Crystal system**: tetragonal

Cell lengths 2.6502, 2.6502, 9.7563 Å; angles 90.00, 90.00, 90.00 degrees
Closest atoms and distances in Å follow each position.
Atoms (fractional coordinates):
Np (0.0000, 0.0000, 0.2493)  4 Np 2.65
Np (0.0000, 0.0000, 0.7507)  4 Np 2.65
Al (0.5000, 0.5000, 0.5000)  4 Al 2.65
Ge (0.5000, 0.5000, 0.0000)  4 Ge 2.65

What E_form values result from the calculations? In sequence: -0.2202; 0.0725 eV/atom.